# 1
Material: Sc2HgOs
Method: DFT, PBE
State: optimized geometry

Values from the calculation:
**Calculated formation energy**: 192 meV/atom
**Magnetic moment**: 1.98 μB/cell
**VASP energy**: -23.4 eV per formula unit

a b c (Å): 3.1394 3.1394 28.7957
angles (deg): 90.00 90.00 120.00
Last column: nearest neighbours and their distance in Å.
Space group R3m (No. 160, hexagonal axes)
One atom of each set of equivalent atoms:
Sc  0.0000  0.0000  0.0000  3 Hg 3.06, 9 Sc 3.14-3.40
Sc  0.0000  0.0000  0.2336  3 Os 2.65
Hg  0.0000  0.0000  0.7521  3 Os 2.95, 3 Sc 3.06, 6 Hg 3.14
Os  0.0000  0.0000  0.4997  3 Sc 2.65, 3 Hg 2.95



# 2
Material: ScHgOs2
Method: DFT, PBE
State: optimized geometry

Values from the calculation:
**Calculated formation energy**: 542 meV/atom
**Magnetic moment**: 0.00 μB/cell
**VASP energy**: -26.9 eV per formula unit

a b c (Å): 2.8441 2.8441 8.5312
angles (deg): 90.00 90.00 90.00
Last column: nearest neighbours and their distance in Å.
Space group P4/mmm (No. 123)
One atom of each set of equivalent atoms:
Sc  0.0000  0.0000  0.0000  4 Sc 2.84, 8 Os 2.89
Hg  0.0000  0.0000  0.5000  4 Hg 2.84, 8 Os 2.98
Os  0.5000  0.5000  0.2429  4 Os 2.84, 4 Sc 2.89, 4 Hg 2.98



# 3
Material: ScHgOs2
Method: DFT, PBE
State: optimized geometry

Values from the calculation:
**Calculated formation energy**: 362 meV/atom
**Magnetic moment**: 0.00 μB/cell
**VASP energy**: -27.6 eV per formula unit

a b c (Å): 3.1307 4.5262 4.7733
angles (deg): 90.00 90.00 90.00
Last column: nearest neighbours and their distance in Å.
Space group Pmmm (No. 47)
One atom of each set of equivalent atoms:
Sc  0.0000  0.0000  0.0000  4 Os 2.75, 4 Hg 2.85
Hg  0.5000  0.0000  0.5000  4 Os 2.75, 4 Sc 2.85
Os  0.0000  0.5000  0.5000  4 Hg 2.75, 4 Os 2.85
Os  0.5000  0.5000  0.0000  4 Sc 2.75, 4 Os 2.85



# 4
Material: Sc2HgOs
Method: DFT, PBE
State: optimized geometry

Values from the calculation:
**Calculated formation energy**: -171 meV/atom
**Magnetic moment**: 0.00 μB/cell
**VASP energy**: -24.9 eV per formula unit

a b c (Å): 3.3007 3.3007 25.8449
angles (deg): 90.00 90.00 120.00
Last column: nearest neighbours and their distance in Å.
Space group R-3m (No. 166, hexagonal axes)
One atom of each set of equivalent atoms:
Sc  0.0000  0.0000  0.2398  3 Os 2.68
Hg  0.0000  0.0000  0.0000  6 Sc 3.08, 6 Hg 3.30
Os  0.0000  0.0000  0.5000  6 Sc 2.68



# 5
Material: ScHgOs
Method: DFT, PBE
State: optimized geometry

Values from the calculation:
**Calculated formation energy**: 645 meV/atom
**Magnetic moment**: 0.00 μB/cell
**VASP energy**: -15.9 eV per formula unit
**Polymorph energy (0 for the lowest one)**: 14.195 kcal/mol of atoms

a b c (Å): 6.3547 6.3547 6.3547
angles (deg): 90.00 90.00 90.00
Last column: nearest neighbours and their distance in Å.
Space group F-43m (No. 216)
One atom of each set of equivalent atoms:
Sc  0.0000  0.0000  0.0000  4 Hg 2.75, 4 Os 2.75
Hg  0.2500  0.2500  0.2500  4 Sc 2.75
Os  0.2500  0.2500  0.7500  4 Sc 2.75



# 6
Material: Sc2HgOs
Method: DFT, PBE
State: optimized geometry

Values from the calculation:
**Calculated formation energy**: -145 meV/atom
**Magnetic moment**: 0.00 μB/cell
**VASP energy**: -24.8 eV per formula unit

a b c (Å): 4.1190 4.1190 8.8510
angles (deg): 90.00 90.00 90.00
Last column: nearest neighbours and their distance in Å.
Space group I-4m2 (No. 119)
One atom of each set of equivalent atoms:
Sc  0.0000  0.0000  0.0000  4 Os 2.91, 4 Hg 3.02, 4 Sc 3.02
Sc  0.0000  0.5000  0.2500  4 Hg 2.91, 4 Os 3.02, 4 Sc 3.02
Hg  0.0000  0.5000  0.7500  8 Sc 2.91-3.02, 4 Os 3.02
Os  0.0000  0.0000  0.5000  8 Sc 2.91-3.02, 4 Hg 3.02



# 7
Material: Sc2HgOs
Method: DFT, PBE
State: optimized geometry

Values from the calculation:
**Calculated formation energy**: -350 meV/atom
**Magnetic moment**: 0.00 μB/cell
**VASP energy**: -25.6 eV per formula unit

a b c (Å): 4.7021 4.7021 3.3952
angles (deg): 90.00 90.00 90.00
Last column: nearest neighbours and their distance in Å.
Space group P4/mmm (No. 123)
One atom of each set of equivalent atoms:
Sc  0.0000  0.5000  0.0000  4 Hg 2.90, 4 Os 2.90
Hg  0.0000  0.0000  0.5000  8 Sc 2.90
Os  0.5000  0.5000  0.5000  8 Sc 2.90



# 8
Material: ScHgOs2
Method: DFT, PBE
State: optimized geometry

Values from the calculation:
**Calculated formation energy**: 336 meV/atom
**Magnetic moment**: 0.00 μB/cell
**VASP energy**: -27.7 eV per formula unit

a b c (Å): 2.9470 2.9470 27.9589
angles (deg): 90.00 90.00 120.00
Last column: nearest neighbours and their distance in Å.
Space group R3m (No. 160, hexagonal axes)
One atom of each set of equivalent atoms:
Sc  0.0000  0.0000  0.0000  3 Os 2.81, 6 Sc 2.95, 3 Hg 3.09
Hg  0.0000  0.0000  0.7591  6 Hg 2.95, 3 Os 3.02, 3 Sc 3.09
Os  0.0000  0.0000  0.2532  3 Os 2.63, 3 Sc 2.81
Os  0.0000  0.0000  0.5149  3 Os 2.63



# 9
Material: ScHgOs4
Method: DFT, PBE
State: optimized geometry

Values from the calculation:
**Calculated formation energy**: 290 meV/atom
**Magnetic moment**: 0.01 μB/cell
**VASP energy**: -49.8 eV per formula unit

a b c (Å): 7.4154 7.4154 7.4154
angles (deg): 90.00 90.00 90.00
Last column: nearest neighbours and their distance in Å.
Space group F-43m (No. 216)
One atom of each set of equivalent atoms:
Sc  0.0000  0.0000  0.0000  12 Os 3.07, 4 Hg 3.21
Hg  0.2500  0.2500  0.7500  12 Os 3.07, 4 Sc 3.21
Os  0.1250  0.1250  0.3750  6 Os 2.62



# 10
Material: Sc4Hg3Os
Method: DFT, PBE
State: optimized geometry

Values from the calculation:
**Calculated formation energy**: -459 meV/atom
**Magnetic moment**: 0.57 μB/cell
**VASP energy**: -41.1 eV per formula unit

a b c (Å): 3.3186 3.3186 14.8530
angles (deg): 90.00 90.00 90.00
Last column: nearest neighbours and their distance in Å.
Space group P4/mmm (No. 123)
One atom of each set of equivalent atoms:
Sc  0.0000  0.0000  0.1026  4 Os 2.80, 1 Sc 3.05, 4 Hg 3.09
Sc  0.0000  0.0000  0.3674  8 Hg 3.03-3.06, 4 Sc 3.32
Hg  0.5000  0.5000  0.2379  8 Sc 3.03-3.09, 4 Hg 3.32
Hg  0.5000  0.5000  0.5000  8 Sc 3.06, 4 Hg 3.32
Os  0.5000  0.5000  0.0000  8 Sc 2.80



# 11
Material: Sc5HgOs4
Method: DFT, PBE
State: optimized geometry

Values from the calculation:
**Calculated formation energy**: -400 meV/atom
**Magnetic moment**: 0.00 μB/cell
**VASP energy**: -80.9 eV per formula unit

a b c (Å): 3.2490 3.2490 16.7647
angles (deg): 90.00 90.00 90.00
Last column: nearest neighbours and their distance in Å.
Space group P4/mmm (No. 123)
One atom of each set of equivalent atoms:
Sc  0.0000  0.0000  0.0000  8 Os 2.80
Sc  0.0000  0.0000  0.1892  8 Os 2.78-2.84
Sc  0.0000  0.0000  0.3763  4 Os 2.73
Hg  0.5000  0.5000  0.5000  8 Sc 3.09, 4 Hg 3.25
Os  0.5000  0.5000  0.0956  8 Sc 2.78-2.80
Os  0.5000  0.5000  0.2883  8 Sc 2.73-2.84



# 12
Material: ScHgOs2
Method: DFT, PBE
State: optimized geometry

Values from the calculation:
**Calculated formation energy**: 437 meV/atom
**Magnetic moment**: 0.00 μB/cell
**VASP energy**: -27.3 eV per formula unit

a b c (Å): 2.9355 2.9355 27.5713
angles (deg): 90.00 90.00 120.00
Last column: nearest neighbours and their distance in Å.
Space group R-3m (No. 166, hexagonal axes)
One atom of each set of equivalent atoms:
Sc  0.0000  0.0000  0.0000  6 Os 2.76, 6 Sc 2.94
Hg  0.0000  0.0000  0.5000  6 Hg 2.94, 6 Os 2.96
Os  0.0000  0.0000  0.2545  3 Sc 2.76, 6 Os 2.94, 3 Hg 2.96



- VASP energy of number 4 (Sc2HgOs)?
  -24.9 eV per formula unit